## TlTc2Sb (PBE)

Data for a relaxed structure of TlTc2Sb.

Results
formation energy without anion corrections	0.75	eV/atom
raw total energy	-6.0589	eV per atom
spin magnetization	0.0	Bohr magnetons per cell
space group	I-4m2, No. 119

Unit cell a=5.318 b=5.318 c=5.318 alpha=135.31 beta=135.31 gamma=65.05
Sites, in units of the cell vectors:
Tl1 0.000 0.000 0.000
Tc1 0.500 0.500 0.000
Tc2 0.750 0.250 0.500
Sb1 0.250 0.750 0.500